Record 1
Here is a relaxed structure of Sc2Zn2Pb3 from the Open Quantum Materials Database. Energies are from GGA-PBE.

Cell: 9.1009 9.1009 9.1009 Å, 30.49 30.49 30.49°
Closest atoms and distances in Å follow each position.
Fractional positions:
Pb: 0.3600 0.3600 0.3600  4 Zn 3.04, 3 Pb 3.33, 3 Sc 3.35
Pb: 0.6219 0.6219 0.6219  6 Pb 3.24-3.33
Pb: 0.8899 0.8899 0.8899  4 Sc 2.94-3.22, 3 Pb 3.24
Sc: 0.1845 0.1845 0.1845  4 Zn 2.84-2.96, 3 Pb 2.94
Sc: 0.7662 0.7662 0.7662  6 Zn 2.83-2.99
Zn: 0.0753 0.0753 0.0753  4 Sc 2.83-2.84, 3 Pb 3.04
Zn: 0.4771 0.4771 0.4771  6 Sc 2.96-2.99, 1 Pb 3.04, 3 Zn 3.29

crystal system: trigonal
final energy: -3.86 eV/atom
theoretical density: 8.131 g/cm³

***

Record 2
Here is a relaxed structure of MgScInNi from the Open Quantum Materials Database. Energies are from GGA-PBE.

Cell: 4.6661 4.6661 4.6661 Å, 60.00 60.00 60.00°
Closest atoms and distances in Å follow each position.
Fractional positions:
In: 0.0000 0.0000 0.0000  4 Sc 2.86, 4 Ni 2.86
Mg: 0.5000 0.5000 0.5000  4 Ni 2.86, 4 Sc 2.86
Ni: 0.2500 0.2500 0.2500  4 Mg 2.86, 4 In 2.86
Sc: 0.7500 0.7500 0.7500  4 In 2.86, 4 Mg 2.86

crystal system: cubic
final energy: -4.25 eV/atom
theoretical density: 5.612 g/cm³

***

Record 3
Here is a relaxed structure of DyLuOs from the Open Quantum Materials Database. Energies are from GGA-PBE.

Cell: 7.3614 4.2686 8.7470 Å, 90.00 90.00 90.00°
Closest atoms and distances in Å follow each position.
Fractional positions:
Dy: 0.9751 0.2500 0.1684  5 Os 3.01-3.23, 2 Lu 3.36
Dy: 0.4751 0.2500 0.3316  5 Os 3.01-3.23, 2 Lu 3.36
Dy: 0.5249 0.7500 0.6684  5 Os 3.01-3.23, 2 Lu 3.36
Dy: 0.0249 0.7500 0.8316  5 Os 3.01-3.23, 2 Lu 3.36
Lu: 0.6450 0.7500 0.0648  4 Os 2.78-2.89
Lu: 0.1450 0.7500 0.4352  4 Os 2.78-2.89
Lu: 0.8550 0.2500 0.5648  4 Os 2.78-2.89
Lu: 0.3550 0.2500 0.9352  4 Os 2.78-2.89
Os: 0.2580 0.7500 0.1226  4 Lu 2.78-2.89, 3 Dy 3.01-3.07
Os: 0.7580 0.7500 0.3774  4 Lu 2.78-2.89, 3 Dy 3.01-3.07
Os: 0.2420 0.2500 0.6226  4 Lu 2.78-2.89, 3 Dy 3.01-3.07
Os: 0.7420 0.2500 0.8774  4 Lu 2.78-2.89, 3 Dy 3.01-3.07

energy of formation from the pure elements: -322.4 meV/atom
crystal system: orthorhombic
final energy: -7.11 eV/atom
theoretical density: 12.752 g/cm³

***

Record 4
Here is a relaxed structure of LiCuOsS3 from the Open Quantum Materials Database. Energies are from GGA-PBE.

Cell: 6.1571 6.1571 9.1590 Å, 90.00 90.00 33.35°
Closest atoms and distances in Å follow each position.
Fractional positions:
Cu: 0.9563 0.9563 0.2500  4 S 2.20-2.34
Cu: 0.0437 0.0437 0.7500  4 S 2.20-2.34
Li: 0.2550 0.2550 0.2500  6 S 2.66-2.92, 2 Cu 2.96
Li: 0.7450 0.7450 0.7500  6 S 2.66-2.92, 2 Cu 2.96
Os: 0.5000 0.5000 0.0000  6 S 2.41-2.51
Os: 0.5000 0.5000 0.5000  6 S 2.41-2.51
S: 0.8649 0.8649 0.0400  1 Cu 2.20, 2 Os 2.41
S: 0.5866 0.5866 0.2500  2 Cu 2.34, 2 Os 2.51
S: 0.8649 0.8649 0.4600  1 Cu 2.20, 2 Os 2.41
S: 0.1350 0.1350 0.5400  1 Cu 2.20, 2 Os 2.41
S: 0.4134 0.4134 0.7500  2 Cu 2.34, 2 Os 2.51
S: 0.1350 0.1350 0.9600  1 Cu 2.20, 2 Os 2.41

crystal system: orthorhombic
final energy: -5.15 eV/atom
theoretical density: 6.210 g/cm³

***

Record 5
Here is a relaxed structure of KTbSiS3 from the Open Quantum Materials Database. Energies are from GGA-PBE.

Cell: 7.0344 7.0344 10.5770 Å, 90.00 90.00 144.27°
Closest atoms and distances in Å follow each position.
Fractional positions:
K: 0.7621 0.2379 0.2500  6 S 3.34-3.35, 1 Si 3.46
K: 0.2379 0.7621 0.7500  6 S 3.34-3.35, 1 Si 3.46
S: 0.1252 0.8748 0.0824  1 Si 2.26
S: 0.4530 0.5470 0.2500  2 Si 2.34
S: 0.1252 0.8748 0.4176  1 Si 2.26
S: 0.8748 0.1252 0.5824  1 Si 2.26
S: 0.5470 0.4530 0.7500  2 Si 2.34
S: 0.8748 0.1252 0.9176  1 Si 2.26
Si: 0.0203 0.9797 0.2500  4 S 2.26-2.34
Si: 0.9797 0.0203 0.7500  4 S 2.26-2.34
Tb: 0.5000 0.5000 0.0000  6 S 2.72-2.87
Tb: 0.5000 0.5000 0.5000  6 S 2.72-2.87

crystal system: orthorhombic
final energy: -5.03 eV/atom
theoretical density: 3.502 g/cm³

***

Record 6
Here is a relaxed structure of TbPaAg from the Open Quantum Materials Database. Energies are from GGA-PBE.

Cell: 4.9687 4.9687 4.9687 Å, 60.00 60.00 60.00°
Closest atoms and distances in Å follow each position.
Fractional positions:
Ag: 0.0000 0.0000 0.0000  4 Pa 3.04, 4 Tb 3.04
Pa: 0.2500 0.2500 0.2500  4 Ag 3.04
Tb: 0.7500 0.7500 0.7500  4 Ag 3.04

energy of formation from the pure elements: 579.3 meV/atom
crystal system: cubic
final energy: -5.07 eV/atom
theoretical density: 9.530 g/cm³

***

Record 7
Here is a relaxed structure of KPdAu3S4 from the Open Quantum Materials Database. Energies are from GGA-PBE.

Cell: 6.1490 6.1490 6.1490 Å, 90.00 90.00 90.00°
Closest atoms and distances in Å follow each position.
Fractional positions:
Au: 0.5000 0.5000 0.0000  4 S 2.58
Au: 0.5000 0.0000 0.5000  4 S 2.58
Au: 0.0000 0.5000 0.5000  4 S 2.58
K: 0.0000 0.0000 0.0000  4 S 2.96
Pd: 0.5000 0.5000 0.5000  4 S 2.36
S: 0.2782 0.2782 0.2782  1 Pd 2.36, 3 Au 2.58
S: 0.7218 0.7218 0.2782  1 Pd 2.36, 3 Au 2.58
S: 0.7218 0.2782 0.7218  1 Pd 2.36, 3 Au 2.58
S: 0.2782 0.7218 0.7218  1 Pd 2.36, 3 Au 2.58

crystal system: cubic
final energy: -3.61 eV/atom
theoretical density: 6.176 g/cm³

***

Record 8
Here is a relaxed structure of Cu9Ge2 from the Open Quantum Materials Database. Energies are from GGA-PBE.

Cell: 2.6517 2.6517 34.9233 Å, 90.00 90.00 120.00°
Closest atoms and distances in Å follow each position.
Fractional positions:
Cu: 0.3333 0.6667 0.2655  9 Cu 2.56-2.65, 3 Ge 2.69
Cu: 0.0000 0.0000 0.3244  12 Cu 2.56-2.65
Cu: 0.6667 0.3333 0.3830  12 Cu 2.55-2.65
Cu: 0.3333 0.6667 0.4415  12 Cu 2.55-2.65
Cu: 0.0000 0.0000 0.5000  12 Cu 2.55-2.65
Cu: 0.6667 0.3333 0.5585  12 Cu 2.55-2.65
Cu: 0.3333 0.6667 0.6170  12 Cu 2.55-2.65
Cu: 0.0000 0.0000 0.6756  12 Cu 2.56-2.65
Cu: 0.6667 0.3333 0.7345  9 Cu 2.56-2.65, 3 Ge 2.69
Ge: 0.6667 0.3333 0.2023  6 Ge 2.65, 3 Cu 2.69
Ge: 0.3333 0.6667 0.7977  6 Ge 2.65, 3 Cu 2.69

crystal system: trigonal
final energy: -3.77 eV/atom
theoretical density: 5.600 g/cm³

***

Record 9
Here is a relaxed structure of LiInPt2 from the Open Quantum Materials Database. Energies are from GGA-PBE.

Cell: 5.8227 7.4169 5.9591 Å, 90.00 90.00 90.00°
Closest atoms and distances in Å follow each position.
Fractional positions:
In: 0.2501 0.2500 0.0000  8 Pt 2.79, 2 Li 2.91, 2 In 2.98
In: 0.7499 0.7500 0.0000  8 Pt 2.79, 2 Li 2.91, 2 In 2.98
In: 0.7501 0.7500 0.5000  8 Pt 2.79, 2 Li 2.91, 2 In 2.98
In: 0.2499 0.2500 0.5000  8 Pt 2.79, 2 Li 2.91, 2 In 2.98
Li: 0.2499 0.7500 0.0005  8 Pt 2.79, 2 In 2.91, 2 Li 2.98
Li: 0.7499 0.2500 0.4995  8 Pt 2.79, 2 In 2.91, 2 Li 2.98
Li: 0.2501 0.7500 0.5005  8 Pt 2.79, 2 In 2.91, 2 Li 2.98
Li: 0.7501 0.2500 0.9995  8 Pt 2.79, 2 In 2.91, 2 Li 2.98
Pt: 0.0000 0.5000 0.2500  4 Li 2.79, 4 In 2.79, 4 Pt 2.91-2.98
Pt: 0.0000 0.0000 0.2500  4 Li 2.79, 4 In 2.79, 4 Pt 2.91-2.98
Pt: 0.5000 0.5000 0.2500  4 Li 2.79, 4 In 2.79, 4 Pt 2.91-2.98
Pt: 0.5000 0.0000 0.2500  4 Li 2.79, 4 In 2.79, 4 Pt 2.91-2.98
Pt: 0.5000 0.0000 0.7500  4 Li 2.79, 4 In 2.79, 4 Pt 2.91-2.98
Pt: 0.5000 0.5000 0.7500  4 Li 2.79, 4 In 2.79, 4 Pt 2.91-2.98
Pt: 0.0000 0.0000 0.7500  4 Li 2.79, 4 In 2.79, 4 Pt 2.91-2.98
Pt: 0.0000 0.5000 0.7500  4 Li 2.79, 4 In 2.79, 4 Pt 2.91-2.98

crystal system: orthorhombic
final energy: -4.74 eV/atom
theoretical density: 13.213 g/cm³

***

Record 10
Here is a relaxed structure of TmScPbC from the Open Quantum Materials Database. Energies are from GGA-PBE.

Cell: 3.4945 3.4945 15.5022 Å, 90.00 90.00 120.00°
Closest atoms and distances in Å follow each position.
Fractional positions:
C: 0.0000 0.0000 0.0044  3 Sc 2.34, 3 Tm 2.41
C: 0.0000 0.0000 0.5044  3 Sc 2.34, 3 Tm 2.41
Pb: 0.6667 0.3333 0.2458  3 Sc 3.26, 3 Tm 3.37, 6 Pb 3.49
Pb: 0.3333 0.6667 0.7458  3 Sc 3.26, 3 Tm 3.37, 6 Pb 3.49
Sc: 0.3333 0.6667 0.0804  3 C 2.34
Sc: 0.6667 0.3333 0.5804  3 C 2.34
Tm: 0.3333 0.6667 0.4195  3 C 2.41
Tm: 0.6667 0.3333 0.9195  3 C 2.41

crystal system: hexagonal
final energy: -6.49 eV/atom
theoretical density: 8.773 g/cm³

***

Record 11
Here is a relaxed structure of HoPPbO from the Open Quantum Materials Database. Energies are from GGA-PBE.

Cell: 3.9442 8.4787 5.8216 Å, 90.00 90.00 90.00°
Closest atoms and distances in Å follow each position.
Fractional positions:
Ho: 0.0000 0.1613 0.4298  2 O 2.16
Ho: 0.0000 0.8387 0.9298  2 O 2.16
O: 0.5000 0.2612 0.3940  2 Ho 2.16, 1 Pb 2.40
O: 0.5000 0.7388 0.8940  2 Ho 2.16, 1 Pb 2.40
P: 0.0000 0.8386 0.4195  2 Pb 2.68, 3 Ho 2.74-2.97
P: 0.0000 0.1614 0.9195  2 Pb 2.68, 3 Ho 2.74-2.97
Pb: 0.5000 0.3662 0.0107  1 O 2.40, 2 P 2.68
Pb: 0.5000 0.6338 0.5107  1 O 2.40, 2 P 2.68

crystal system: orthorhombic
final energy: -6.09 eV/atom
theoretical density: 7.149 g/cm³

***

Record 12
Here is a relaxed structure of La2Zn5Ni5 from the Open Quantum Materials Database. Energies are from GGA-PBE.

Cell: 4.0796 5.2464 9.0116 Å, 90.00 90.00 90.00°
Closest atoms and distances in Å follow each position.
Fractional positions:
La: 0.0000 0.0000 0.0000  10 Ni 2.98-3.32, 8 Zn 3.28
La: 0.0000 0.5000 0.5000  6 Ni 3.02-3.08, 12 Zn 3.32-3.34
Ni: 0.5000 0.5000 0.0000  4 Ni 2.49, 4 Zn 2.55
Ni: 0.0000 0.5000 0.1577  2 Ni 2.49, 4 Zn 2.54
Ni: 0.0000 0.0000 0.3332  6 Zn 2.53-2.56
Ni: 0.0000 0.0000 0.6668  6 Zn 2.53-2.56
Ni: 0.0000 0.5000 0.8423  2 Ni 2.49, 4 Zn 2.54
Zn: 0.5000 0.2538 0.2443  5 Ni 2.54-2.56, 3 Zn 2.58-2.66
Zn: 0.5000 0.7462 0.2443  5 Ni 2.54-2.56, 3 Zn 2.58-2.66
Zn: 0.5000 0.0000 0.5000  4 Ni 2.53, 4 Zn 2.66
Zn: 0.5000 0.2538 0.7557  5 Ni 2.54-2.56, 3 Zn 2.58-2.66
Zn: 0.5000 0.7462 0.7557  5 Ni 2.54-2.56, 3 Zn 2.58-2.66

energy of formation from the pure elements: -367.0 meV/atom
crystal system: orthorhombic
final energy: -4.03 eV/atom
theoretical density: 7.734 g/cm³